No. 1
Density functional theory data (PBE-GGA) for Be2CoCu2 after structural relaxation.

```
10
Lattice="6.288 0.000 0.000 0.000 6.288 0.000 0.000 0.000 2.533" Properties=species:S:1:pos:R:3 pbc="T T T"
Co 0.000 0.000 0.000
Co 3.144 3.144 0.000
Cu 1.014 4.158 1.267
Cu 4.158 5.275 1.267
Cu 2.130 1.014 1.267
Cu 5.275 2.130 1.267
Be 3.993 0.848 0.000
Be 5.440 3.993 0.000
Be 2.296 5.440 0.000
Be 0.848 2.296 0.000
```

Properties
Energy relative to the lowest polymorph listed for this composition: 0.000 eV/atom
Size of the total moment: 1.29 μB/f.u.
Energy relative to the elements: -0.01 eV per atom
Theoretical density: 6.8 g/cm³
Symmetry: P4/mbm (127)



No. 2
Density functional theory data (PBE-GGA) for BeCo3Cu after structural relaxation.

```
5
Lattice="3.858 0.000 0.000 0.000 3.858 0.000 0.000 0.000 3.858" Properties=species:S:1:pos:R:3 pbc="T T T"
Be 0.000 0.000 0.000
Co 0.000 1.929 0.000
Co 1.929 0.000 0.000
Co 0.000 0.000 1.929
Cu 1.929 1.929 1.929
```

Properties
Energy relative to the lowest polymorph listed for this composition: 0.000 eV/atom
Size of the total moment: 4.00 μB/f.u.
Energy relative to the elements: 0.58 eV per atom
Theoretical density: 7.2 g/cm³
Symmetry: Pm-3m (221)



No. 3
Density functional theory data (PBE-GGA) for Be4CoCu2 after structural relaxation.

```
14
Lattice="4.121 0.371 -2.040 -2.135 5.060 -2.051 -0.354 -0.529 6.527" Properties=species:S:1:pos:R:3 pbc="T T T"
Co -0.081 3.411 1.235
Co -1.973 3.788 4.529
Be 2.059 3.658 0.326
Be -0.277 2.860 -0.923
Be -1.442 4.719 0.136
Be 0.099 4.068 3.387
Be -0.535 1.208 1.081
Be 2.962 0.384 3.422
Be 0.850 0.274 4.267
Be 1.931 3.034 -1.915
Cu -0.573 1.901 3.362
Cu 0.637 4.919 -0.874
Cu 1.522 1.780 2.407
Cu 1.376 1.560 -0.133
```

Properties
Size of the total moment: 0.00 μB/f.u.
Energy relative to the elements: -0.09 eV per atom
Theoretical density: 5.6 g/cm³
Symmetry: P1 (1)



No. 4
Density functional theory data (PBE-GGA) for Be2CoCu2 after structural relaxation.

```
5
Lattice="3.008 0.000 0.000 0.000 3.008 0.000 1.504 1.504 6.039" Properties=species:S:1:pos:R:3 pbc="T T T"
Cu 1.504 1.504 1.315
Cu 3.008 3.008 4.724
Co 0.000 0.000 0.000
Be 1.504 3.008 3.020
Be 3.008 1.504 3.020
```

Properties
Energy relative to the lowest polymorph listed for this composition: 0.326 eV/atom
Size of the total moment: 1.36 μB/f.u.
Energy relative to the elements: 0.32 eV per atom
Theoretical density: 6.2 g/cm³
Symmetry: I4/mmm (139)



No. 5
Density functional theory data (PBE-GGA) for Be3Co2Cu after structural relaxation.

```
6
Lattice="2.644 0.000 0.000 0.000 2.644 0.000 0.000 0.000 7.776" Properties=species:S:1:pos:R:3 pbc="T T T"
Be 0.000 0.000 2.418
Be 0.000 0.000 0.000
Be 0.000 0.000 5.358
Co 1.322 1.322 1.279
Co 1.322 1.322 6.497
Cu 1.322 1.322 3.888
```

Properties
Size of the total moment: 0.00 μB/f.u.
Energy relative to the elements: -0.27 eV per atom
Theoretical density: 6.4 g/cm³
Symmetry: P4/mmm (123)



No. 6
Density functional theory data (PBE-GGA) for Be5CoCu2 after structural relaxation.

```
8
Lattice="-1.880 2.770 -1.147 -1.865 -2.140 -2.112 -1.992 -1.166 5.905" Properties=species:S:1:pos:R:3 pbc="T T T"
Cu -3.871 -0.126 0.582
Cu -1.866 -0.411 2.064
Be -3.908 -1.726 2.235
Be -1.822 -1.266 -0.072
Be -1.872 0.315 -1.630
Be -3.915 0.730 2.717
Be -1.829 1.189 0.410
Co 0.000 0.000 0.000
```

Properties
Size of the total moment: 0.00 μB/f.u.
Energy relative to the elements: -0.16 eV per atom
Theoretical density: 5.3 g/cm³
Symmetry: I4/mmm (139)



No. 7
Density functional theory data (PBE-GGA) for BeCo2Cu2 after structural relaxation.

```
10
Lattice="-0.319 5.429 0.522 -4.988 -0.502 2.173 1.548 -0.245 3.495" Properties=species:S:1:pos:R:3 pbc="T T T"
Be -2.653 2.464 1.348
Be 0.000 0.000 0.000
Co -3.472 4.341 1.842
Co -0.908 3.411 0.642
Co -4.398 1.517 2.054
Co -1.835 0.587 0.854
Cu -0.166 1.601 2.285
Cu -2.607 0.450 3.285
Cu -1.152 4.232 2.906
Cu -3.593 3.082 3.906
```

Properties
Size of the total moment: 2.39 μB/f.u.
Energy relative to the elements: 0.26 eV per atom
Theoretical density: 7.4 g/cm³
Symmetry: P4/mbm (127)



No. 8
Density functional theory data (PBE-GGA) for Be3CoCu after structural relaxation.

```
5
Lattice="3.884 0.000 0.000 0.000 3.884 0.000 0.000 0.000 3.884" Properties=species:S:1:pos:R:3 pbc="T T T"
Be 1.942 0.000 0.000
Be 0.000 0.000 1.942
Be 0.000 1.942 0.000
Cu 1.942 1.942 1.942
Co 0.000 0.000 0.000
```

Properties
Energy relative to the lowest polymorph listed for this composition: 0.000 eV/atom
Size of the total moment: 0.00 μB/f.u.
Energy relative to the elements: 0.59 eV per atom
Theoretical density: 4.2 g/cm³
Symmetry: Pm-3m (221)



No. 9
Density functional theory data (PBE-GGA) for BeFeCoCu after structural relaxation.

```
4
Lattice="3.919 0.000 0.000 1.959 3.394 0.000 1.959 1.131 3.200" Properties=species:S:1:pos:R:3 pbc="T T T"
Be 3.919 2.263 1.600
Cu 1.959 1.131 0.800
Co 5.878 3.394 2.400
Fe 0.000 0.000 0.000
```

Properties
Size of the total moment: 3.58 μB/f.u.
Energy relative to the elements: 0.01 eV per atom
Theoretical density: 7.3 g/cm³
Symmetry: F-43m (216)



No. 10
Density functional theory data (PBE-GGA) for Be2CoCuH after structural relaxation.

```
5
Lattice="-2.060 -0.002 2.916 -0.539 -3.509 -0.383 2.532 -0.584 1.789" Properties=species:S:1:pos:R:3 pbc="T T T"
Cu -0.034 -2.047 2.161
Be -0.269 -1.754 -0.192
Be -1.030 -0.001 1.458
Co 1.266 -0.292 0.894
H 0.000 0.000 0.000
```

Properties
Electronic total energy: -4.454 eV/atom
Size of the total moment: 0.00 μB/f.u.
Theoretical density: 5.8 g/cm³
Symmetry: P4/mmm (123)



No. 11
Density functional theory data (PBE-GGA) for HfBeCoCu after structural relaxation.

```
4
Lattice="4.203 0.000 0.000 2.102 3.640 0.000 2.102 1.213 3.432" Properties=species:S:1:pos:R:3 pbc="T T T"
Co 6.305 3.640 2.574
Cu 2.102 1.213 0.858
Hf 4.203 2.427 1.716
Be 0.000 0.000 0.000
```

Properties
Size of the total moment: 0.00 μB/f.u.
Energy relative to the elements: -0.11 eV per atom
Theoretical density: 9.8 g/cm³
Symmetry: F-43m (216)



No. 12
Density functional theory data (PBE-GGA) for LiBe2CoCu after structural relaxation.

```
5
Lattice="3.994 0.000 0.000 0.000 4.059 0.000 0.000 0.000 3.994" Properties=species:S:1:pos:R:3 pbc="T T T"
Li 0.000 2.029 0.000
Cu 0.000 0.000 0.000
Be 1.997 0.000 0.000
Be 0.000 0.000 1.997
Co 1.997 2.029 1.997
```

Properties
Size of the total moment: 1.49 μB/f.u.
Energy relative to the elements: 0.80 eV per atom
Theoretical density: 3.8 g/cm³
Symmetry: P4/mmm (123)